No. 1
TbIn3 | the Open Quantum Materials Database | PBE | optimized geometry; total DFT energy (no corrections) = -3.631 eV/atom; total magnetic moment = 0.0 Bohr magnetons per cell; symmetry = Pm-3m
1.0
-2.475 1.146 -3.747
-2.867 -3.552 0.807
-2.671 2.748 2.605
In Tb
3 1
direct
0.500 0.500 0.417
0.000 0.500 0.917
0.500 0.000 0.917
0.000 0.000 0.417

=====

No. 2
Tb4InTc | the Open Quantum Materials Database | PBE | optimized geometry; total DFT energy (no corrections) = -5.511 eV/atom; total magnetic moment = 0.0 Bohr magnetons per cell; symmetry = C2/c
1.0
6.231 0.000 0.000
-1.319 7.731 0.000
-1.319 -3.239 7.019
In Tb Tc
2 8 2
direct
0.250 0.624 0.376
0.750 0.376 0.624
0.952 0.724 0.060
0.610 0.358 0.202
0.548 0.940 0.276
0.110 0.202 0.358
0.890 0.798 0.642
0.452 0.060 0.724
0.390 0.642 0.798
0.048 0.276 0.940
0.750 0.000 0.000
0.250 0.000 0.000

=====

No. 3
Tb5InTe4 | the Open Quantum Materials Database | PBE | optimized geometry; total DFT energy (no corrections) = -5.015 eV/atom; total magnetic moment = 0.0 Bohr magnetons per cell; symmetry = I4/m
1.0
4.437 3.361 5.176
-7.264 1.102 -1.945
-0.563 -6.909 3.117
In Tb Te
1 5 4
direct
0.001 0.001 0.000
0.501 0.501 0.000
0.293 0.903 0.194
0.099 0.293 0.390
0.903 0.709 0.610
0.709 0.099 0.806
0.803 0.404 0.205
0.598 0.803 0.399
0.404 0.199 0.601
0.199 0.598 0.795

=====

Repeat the second record exactly.
Tb4InTc | the Open Quantum Materials Database | PBE | optimized geometry; total DFT energy (no corrections) = -5.511 eV/atom; total magnetic moment = 0.0 Bohr magnetons per cell; symmetry = C2/c
1.0
6.231 0.000 0.000
-1.319 7.731 0.000
-1.319 -3.239 7.019
In Tb Tc
2 8 2
direct
0.250 0.624 0.376
0.750 0.376 0.624
0.952 0.724 0.060
0.610 0.358 0.202
0.548 0.940 0.276
0.110 0.202 0.358
0.890 0.798 0.642
0.452 0.060 0.724
0.390 0.642 0.798
0.048 0.276 0.940
0.750 0.000 0.000
0.250 0.000 0.000